Entry 1:
VASP calculation (GGA-PBE) on a relaxed structure of Pm3Ho4Bi8.

Summary:
Calculated formation energy: -0.68 eV per atom

abc: 8.997 8.997 8.960
angles: 119.83 119.83 90.05
Fractional coordinates of all 15 atoms:
Pm: 0.000 0.000 0.000
Pm: 0.000 0.500 0.000
Pm: 0.500 0.000 0.000
Ho: 0.000 0.500 0.500
Ho: 0.500 0.000 0.500
Ho: 0.500 0.500 0.000
Ho: 0.500 0.500 0.500
Bi: 0.248 0.752 0.500
Bi: 0.251 0.251 0.506
Bi: 0.251 0.251 0.996
Bi: 0.253 0.747 0.000
Bi: 0.747 0.253 0.000
Bi: 0.749 0.749 0.004
Bi: 0.749 0.749 0.494
Bi: 0.752 0.248 0.500

---

Entry 2:
VASP calculation (GGA-PBE) on a relaxed structure of Pm2HoBi4.

Summary:
Calculated formation energy: -0.62 eV per atom

abc: 6.106 6.106 17.520
angles: 90.00 90.00 136.53
Fractional coordinates of all 14 atoms:
Pm: 0.165 0.835 0.575
Pm: 0.165 0.835 0.925
Pm: 0.835 0.165 0.075
Pm: 0.835 0.165 0.425
Ho: 0.453 0.547 0.750
Ho: 0.547 0.453 0.250
Bi: 0.137 0.863 0.124
Bi: 0.137 0.863 0.376
Bi: 0.162 0.838 0.750
Bi: 0.500 0.500 0.000
Bi: 0.500 0.500 0.500
Bi: 0.838 0.162 0.250
Bi: 0.863 0.137 0.624
Bi: 0.863 0.137 0.876

---

Entry 3:
VASP calculation (GGA-PBE) on a relaxed structure of PmHo2Bi2.

Summary:
Calculated formation energy: -0.44 eV per atom

abc: 7.292 6.204 7.542
angles: 90.00 106.61 90.00
Fractional coordinates of all 10 atoms:
Pm: 0.000 0.000 0.000
Pm: 0.500 0.500 0.000
Ho: 0.000 0.250 0.500
Ho: 0.000 0.750 0.500
Ho: 0.500 0.250 0.500
Ho: 0.500 0.750 0.500
Bi: 0.164 0.500 0.212
Bi: 0.336 0.000 0.788
Bi: 0.664 0.000 0.212
Bi: 0.836 0.500 0.788

---

Entry 4:
VASP calculation (GGA-PBE) on a relaxed structure of Pm3HoBi3.

Summary:
Excess energy over the best structure of this formula in the dataset: 0 meV per atom
Calculated formation energy: -0.79 eV per atom

abc: 9.563 9.563 9.563
angles: 90.00 90.00 90.00
Fractional coordinates of all 28 atoms:
Pm: 0.068 0.432 0.568
Pm: 0.176 0.824 0.324
Pm: 0.178 0.178 0.178
Pm: 0.322 0.822 0.678
Pm: 0.324 0.176 0.824
Pm: 0.432 0.568 0.068
Pm: 0.568 0.068 0.432
Pm: 0.676 0.676 0.676
Pm: 0.678 0.322 0.822
Pm: 0.822 0.678 0.322
Pm: 0.824 0.324 0.176
Pm: 0.932 0.932 0.932
Ho: 0.074 0.574 0.926
Ho: 0.426 0.426 0.426
Ho: 0.574 0.926 0.074
Ho: 0.926 0.074 0.574
Bi: 0.002 0.256 0.872
Bi: 0.128 0.502 0.244
Bi: 0.244 0.128 0.502
Bi: 0.256 0.872 0.002
Bi: 0.372 0.498 0.744
Bi: 0.498 0.744 0.372
Bi: 0.502 0.244 0.128
Bi: 0.628 0.998 0.756
Bi: 0.744 0.372 0.498
Bi: 0.756 0.628 0.998
Bi: 0.872 0.002 0.256
Bi: 0.998 0.756 0.628

---

Entry 5:
VASP calculation (GGA-PBE) on a relaxed structure of PmPr2Ho3Bi6.

Summary:
Calculated formation energy: -0.89 eV per atom

abc: 10.148 10.148 9.077
angles: 102.77 102.77 25.88
Fractional coordinates of all 12 atoms:
Pm: 0.000 0.000 0.000
Pr: 0.334 0.334 0.667
Pr: 0.666 0.666 0.333
Ho: 0.000 0.000 0.500
Ho: 0.333 0.333 0.167
Ho: 0.667 0.667 0.833
Bi: 0.164 0.164 0.590
Bi: 0.168 0.168 0.076
Bi: 0.497 0.497 0.254
Bi: 0.503 0.503 0.746
Bi: 0.832 0.832 0.924
Bi: 0.836 0.836 0.410

---

Entry 6:
VASP calculation (GGA-PBE) on a relaxed structure of Pm2PrHo3Bi6.

Summary:
Calculated formation energy: -0.89 eV per atom

abc: 10.125 10.125 9.057
angles: 102.79 102.79 25.87
Fractional coordinates of all 12 atoms:
Pm: 0.167 0.167 0.334
Pm: 0.833 0.833 0.666
Pr: 0.500 0.500 0.000
Ho: 0.166 0.166 0.833
Ho: 0.500 0.500 0.500
Ho: 0.834 0.834 0.167
Bi: 0.002 0.002 0.743
Bi: 0.330 0.330 0.921
Bi: 0.335 0.335 0.412
Bi: 0.665 0.665 0.588
Bi: 0.670 0.670 0.079
Bi: 0.998 0.998 0.257

---

Entry 7:
VASP calculation (GGA-PBE) on a relaxed structure of PmPrHo2Bi4.

Summary:
Calculated formation energy: -0.89 eV per atom

abc: 7.848 4.542 7.862
angles: 90.00 109.50 90.00
Fractional coordinates of all 8 atoms:
Pm: 0.000 0.000 0.000
Pr: 0.000 0.500 0.500
Ho: 0.500 0.000 0.500
Ho: 0.500 0.500 0.000
Bi: 0.259 0.500 0.251
Bi: 0.261 0.000 0.755
Bi: 0.739 0.000 0.245
Bi: 0.741 0.500 0.749

---

Entry 8:
VASP calculation (GGA-PBE) on a relaxed structure of PmHoBiSb.

Summary:
Raw formation energy: -1.004 eV per atom

abc: 4.478 4.478 6.324
angles: 90.00 90.00 90.00
Fractional coordinates of all 4 atoms:
Pm: 0.000 0.000 0.000
Ho: 0.500 0.500 0.500
Bi: 0.500 0.500 0.000
Sb: 0.000 0.000 0.500